Entry 1:
## Rb3Sb5O14 (PBE)

Data for crystalline Rb3Sb5O14 at its relaxed geometry.

Output
space group = Pbam, No. 55
formation energy (no corrections) = -1.530 eV per atom
size of the total moment = 0.00 μB/f.u.

Cell lengths 7.315, 7.491, 24.946 Å; angles 90.00, 90.00, 90.00 degrees
Atoms (fractional coordinates):
Sb: 0.613 0.264 0.146
Sb: 0.887 0.264 0.646
Sb: 0.166 0.500 0.745
Sb: 0.583 0.000 0.556
Sb: 0.092 0.000 0.562
Sb: 0.834 0.500 0.255
Sb: 0.417 0.000 0.444
Sb: 0.387 0.736 0.854
Sb: 0.613 0.736 0.146
Sb: 0.887 0.736 0.646
Sb: 0.408 0.000 0.062
Sb: 0.917 0.000 0.056
Sb: 0.908 0.000 0.438
Sb: 0.113 0.264 0.354
Sb: 0.083 0.000 0.944
Sb: 0.592 0.000 0.938
Sb: 0.666 0.500 0.755
Sb: 0.387 0.264 0.854
Sb: 0.334 0.500 0.245
Sb: 0.113 0.736 0.354
O: 0.113 0.314 0.687
O: 0.000 0.822 0.000
O: 0.339 0.000 0.592
O: 0.661 0.000 0.408
O: 0.162 0.197 0.897
O: 0.338 0.197 0.397
O: 0.045 0.746 0.575
O: 0.773 0.278 0.210
O: 0.227 0.722 0.790
O: 0.613 0.686 0.813
O: 0.500 0.178 0.500
O: 0.076 0.500 0.220
O: 0.576 0.500 0.280
O: 0.468 0.000 0.857
O: 0.968 0.000 0.643
O: 0.660 0.000 0.017
O: 0.162 0.803 0.897
O: 0.821 0.500 0.620
O: 0.838 0.803 0.103
O: 0.773 0.722 0.210
O: 0.387 0.314 0.187
O: 0.679 0.500 0.120
O: 0.887 0.686 0.313
O: 0.113 0.686 0.687
O: 0.838 0.197 0.103
O: 0.887 0.314 0.313
O: 0.955 0.254 0.425
O: 0.387 0.686 0.187
O: 0.662 0.197 0.603
O: 0.340 0.000 0.983
O: 0.955 0.746 0.425
O: 0.161 0.000 0.092
O: 0.179 0.500 0.380
O: 0.273 0.278 0.290
O: 0.227 0.278 0.790
O: 0.338 0.803 0.397
O: 0.500 0.822 0.500
O: 0.455 0.746 0.075
O: 0.662 0.803 0.603
O: 0.727 0.722 0.710
O: 0.545 0.746 0.925
O: 0.613 0.314 0.813
O: 0.273 0.722 0.290
O: 0.455 0.254 0.075
O: 0.160 0.000 0.483
O: 0.424 0.500 0.720
O: 0.000 0.178 0.000
O: 0.839 0.000 0.908
O: 0.727 0.278 0.710
O: 0.045 0.254 0.575
O: 0.532 0.000 0.143
O: 0.840 0.000 0.517
O: 0.924 0.500 0.780
O: 0.321 0.500 0.880
O: 0.545 0.254 0.925
O: 0.032 0.000 0.357
Rb: 0.771 0.500 0.514
Rb: 0.729 0.500 0.014
Rb: 0.609 0.000 0.292
Rb: 0.109 0.000 0.208
Rb: 0.110 0.500 0.115
Rb: 0.891 0.000 0.792
Rb: 0.271 0.500 0.986
Rb: 0.229 0.500 0.486
Rb: 0.890 0.500 0.885
Rb: 0.391 0.000 0.708
Rb: 0.390 0.500 0.615
Rb: 0.610 0.500 0.385

=====

Entry 2:
## Rb3SbO3 (PBE)

Data for crystalline Rb3SbO3 at its relaxed geometry.

Output
DOS(E_F) = 0.0 states/eV/f.u.
space group = C2/m, No. 12
formation energy (no corrections) = -1.465 eV per atom
size of the total moment = 0.00 μB/f.u.

Cell lengths 6.874, 6.874, 7.844 Å; angles 84.52, 84.52, 107.05 degrees
Atoms (fractional coordinates):
Sb: 0.280 0.280 0.173
Sb: 0.720 0.720 0.827
O: 0.786 0.513 0.695
O: 0.513 0.786 0.695
O: 0.487 0.214 0.305
O: 0.214 0.487 0.305
O: 0.963 0.963 0.758
O: 0.037 0.037 0.242
Rb: 0.683 0.683 0.349
Rb: 0.792 0.208 0.000
Rb: 0.208 0.792 0.000
Rb: 0.317 0.317 0.651
Rb: 0.192 0.808 0.500
Rb: 0.808 0.192 0.500

=====

Entry 3:
## RbSb2O6 (PBE)

Data for crystalline RbSb2O6 at its relaxed geometry.

Output
DOS(E_F) = 3.1 states/eV/f.u.
space group = Fd-3m, No. 227
formation energy (no corrections) = -1.363 eV per atom
size of the total moment = 1.05 μB/f.u.
energy relative to the lowest polymorph listed for this composition = 0 meV/atom

Cell lengths 7.369, 7.369, 7.369 Å; angles 60.00, 60.00, 60.00 degrees
Atoms (fractional coordinates):
Rb: 0.500 0.500 0.500
Rb: 0.750 0.750 0.750
O: 0.800 0.200 0.800
O: 0.800 0.800 0.200
O: 0.200 0.800 0.200
O: 0.050 0.050 0.450
O: 0.800 0.200 0.200
O: 0.200 0.800 0.800
O: 0.450 0.450 0.050
O: 0.450 0.050 0.450
O: 0.050 0.450 0.050
O: 0.450 0.050 0.050
O: 0.200 0.200 0.800
O: 0.050 0.450 0.450
Sb: 0.125 0.125 0.625
Sb: 0.125 0.625 0.125
Sb: 0.625 0.125 0.125
Sb: 0.125 0.125 0.125

=====

Entry 4:
## Rb3SbO3 (PBE)

Data for crystalline Rb3SbO3 at its relaxed geometry.

Output
DOS(E_F) = 0.0 states/eV/f.u.
space group = P2_1/c, No. 14
formation energy (no corrections) = -1.456 eV per atom
size of the total moment = 0.00 μB/f.u.

Cell lengths 6.827, 9.983, 10.836 Å; angles 80.74, 90.00, 90.00 degrees
Atoms (fractional coordinates):
O: 0.246 0.599 0.056
O: 0.898 0.728 0.169
O: 0.102 0.272 0.831
O: 0.746 0.401 0.444
O: 0.012 0.823 0.896
O: 0.512 0.177 0.604
O: 0.398 0.272 0.331
O: 0.602 0.728 0.669
O: 0.988 0.177 0.104
O: 0.754 0.401 0.944
O: 0.254 0.599 0.556
O: 0.488 0.823 0.396
Rb: 0.865 0.672 0.444
Rb: 0.365 0.328 0.056
Rb: 0.135 0.328 0.556
Rb: 0.922 0.432 0.188
Rb: 0.578 0.432 0.688
Rb: 0.422 0.568 0.312
Rb: 0.318 0.043 0.810
Rb: 0.635 0.672 0.944
Rb: 0.078 0.568 0.812
Rb: 0.682 0.957 0.190
Rb: 0.818 0.957 0.690
Rb: 0.182 0.043 0.310
Sb: 0.371 0.779 0.563
Sb: 0.629 0.221 0.437
Sb: 0.871 0.221 0.937
Sb: 0.129 0.779 0.063

=====

Entry 5:
## Rb3Sb2O6 (PBE)

Data for crystalline Rb3Sb2O6 at its relaxed geometry.

Output
DOS(E_F) = 1.7 states/eV/f.u.
space group = I4/mmm, No. 139
formation energy (no corrections) = -1.451 eV per atom
size of the total moment = 0.00 μB/f.u.

Cell lengths 4.044, 4.044, 12.796 Å; angles 99.09, 99.09, 90.00 degrees
Atoms (fractional coordinates):
Rb: 0.000 0.000 0.000
Rb: 0.197 0.197 0.394
Rb: 0.803 0.803 0.606
O: 0.588 0.088 0.175
O: 0.912 0.412 0.825
O: 0.088 0.588 0.175
O: 0.412 0.912 0.825
O: 0.316 0.316 0.633
O: 0.684 0.684 0.367
Sb: 0.607 0.607 0.214
Sb: 0.393 0.393 0.786

=====

Entry 6:
## Rb4SbO5 (PBE)

Data for crystalline Rb4SbO5 at its relaxed geometry.

Output
space group = I4, No. 79
formation energy (no corrections) = -1.371 eV per atom
size of the total moment = 1.08 μB/f.u.

Cell lengths 6.755, 6.755, 6.755 Å; angles 101.87, 101.87, 126.06 degrees
Atoms (fractional coordinates):
O: 0.623 0.623 0.000
O: 0.794 0.942 0.713
O: 0.229 0.081 0.287
O: 0.081 0.794 0.852
O: 0.942 0.229 0.148
Rb: 0.562 0.178 0.798
Rb: 0.764 0.562 0.385
Rb: 0.178 0.380 0.615
Rb: 0.380 0.764 0.202
Sb: 0.937 0.937 0.000

=====

> Which formula does entry 5 have?

Rb3Sb2O6